Density functional theory data (PBE) for a geometry-optimized Y2Er8Th3 structure.

Unit cell a=5.580 b=6.624 c=11.892 alpha=102.72 beta=103.51 gamma=90.01
Positions (direct):
Y 0.232 0.313 0.464
Y 0.768 0.687 0.536
Er 0.076 0.090 0.152
Er 0.177 0.762 0.352
Er 0.330 0.966 0.661
Er 0.378 0.511 0.758
Er 0.622 0.489 0.242
Er 0.670 0.034 0.339
Er 0.823 0.238 0.648
Er 0.924 0.910 0.848
Th 0.000 0.500 0.000
Th 0.486 0.222 0.973
Th 0.514 0.778 0.027

Output
Calculated volume, Å³/cell: 416
Space group: P-1, No. 2
Electronic total energy, eV/atom: -5.415
E above lowest polymorph, kJ/mol of atoms: 0.0
Magnetization, μB/cell: 0.0

Density functional theory data (PBE) for a geometry-optimized Y3Er5Th2 structure.

Unit cell a=9.885 b=9.885 c=9.046 alpha=108.45 beta=108.45 gamma=114.88
Positions (direct):
Y 0.029 0.971 0.750
Y 0.227 0.481 0.457
Y 0.481 0.227 0.957
Y 0.519 0.773 0.043
Y 0.773 0.519 0.543
Y 0.971 0.029 0.250
Er 0.120 0.382 0.749
Er 0.221 0.779 0.750
Er 0.282 0.718 0.250
Er 0.382 0.120 0.249
Er 0.473 0.527 0.250
Er 0.527 0.473 0.750
Er 0.618 0.880 0.751
Er 0.718 0.282 0.750
Er 0.779 0.221 0.250
Er 0.880 0.618 0.251
Th 0.012 0.266 0.026
Th 0.266 0.012 0.526
Th 0.734 0.988 0.474
Th 0.988 0.734 0.974

Output
Calculated volume, Å³/cell: 649
Space group: C2/c, No. 15
Electronic total energy, eV/atom: -5.481
Magnetization, μB/cell: 0.0

Density functional theory data (PBE) for a geometry-optimized Y3Er3Th2 structure.

Unit cell a=5.022 b=5.024 c=20.182 alpha=90.00 beta=90.00 gamma=90.00
Positions (direct):
Y 0.000 0.000 0.000
Y 0.000 0.500 0.127
Y 0.000 0.500 0.873
Y 0.500 0.000 0.373
Y 0.500 0.000 0.627
Y 0.500 0.500 0.500
Er 0.000 0.000 0.500
Er 0.000 0.500 0.373
Er 0.000 0.500 0.627
Er 0.500 0.000 0.127
Er 0.500 0.000 0.873
Er 0.500 0.500 0.000
Th 0.000 0.000 0.250
Th 0.000 0.000 0.750
Th 0.500 0.500 0.250
Th 0.500 0.500 0.750

Output
Calculated volume, Å³/cell: 509
Space group: Immm, No. 71
Electronic total energy, eV/atom: -5.965
E above lowest polymorph, kJ/mol of atoms: 0.0
Magnetization, μB/cell: 0.0